VASP calculation (GGA-PBE) on a geometry-optimized Pr4Ir3Pd structure.

Unit cell a=4.0510 b=4.3162 c=11.0750 alpha=90.00 beta=90.00 gamma=90.00
Fractional positions:
1 Pr 0.0000 0.0000 0.0000
2 Pr 0.0000 0.5000 0.2781
3 Pr 0.5000 0.0000 0.4890
4 Pr 0.5000 0.5000 0.7786
5 Ir 0.0000 0.5000 0.5536
6 Ir 0.5000 0.0000 0.2154
7 Ir 0.5000 0.5000 0.0506
8 Pd 0.0000 0.0000 0.7170

Properties
Energy of formation = -0.6421 eV/atom
Space-group type = Pmm2
Theoretical density = 10.69 g cm⁻³
V = 194 Å³ per cell

=====

VASP calculation (GGA-PBE) on a geometry-optimized LiEr2Al2 structure.

Unit cell a=6.0694 b=6.0694 c=6.0694 alpha=145.61 beta=116.35 gamma=74.39
Fractional positions:
1 Li 0.0000 0.0000 0.0000
2 Er 0.2743 0.7743 0.5000
3 Er 0.7257 0.2257 0.5000
4 Al 0.2920 0.5000 0.7920
5 Al 0.7080 0.5000 0.2080

Properties
Energy of formation = -0.2431 eV/atom
Space-group type = Immm
Theoretical density = 5.91 g cm⁻³
V = 111 Å³ per cell

=====

Result set for VASP energy: -56.03 -19.74 eV for the cell shown, one per record in the order listed.